# Co2SO

Co2SO after structural relaxation (PBE with a Hubbard U, the Open Quantum Materials Database).

Output
Final energy: -40.40 eV/cell
Excess energy over the best structure of this formula in the dataset: 0.322 eV/atom

Cell: 6.1501 6.1501 5.3912 Å, 90.00 90.00 29.39°
With the nearest neighbours (Å) after each atom.
Fractional positions:
Co 0.5674 0.5674 0.2500  4 O 2.21, 2 S 2.38
Co 0.8636 0.8636 0.2500  2 O 2.11, 2 S 2.32
Co 0.1364 0.1364 0.7500  2 O 2.11, 2 S 2.32
Co 0.4326 0.4326 0.7500  4 O 2.21, 2 S 2.38
O 0.0000 0.0000 0.0000  6 Co 2.11-2.21
O 0.0000 0.0000 0.5000  6 Co 2.11-2.21
S 0.2188 0.2188 0.2500  4 Co 2.32-2.38
S 0.7812 0.7812 0.7500  4 Co 2.32-2.38